Density functional theory data (GGA-PBE) for a relaxed structure of Cu5Ge2.

Properties
- Calculated formation energy: 0.042 eV per atom
- Crystal system: orthorhombic
- Energy: -58.84 eV per cell
- Total magnetic moment: 0.0 μB per formula unit

Lattice parameters (Å, degrees): 14.023 14.023 3.698 90.00 90.00 164.69
Element x y z (fractional)
1 Cu 0.032 0.968 0.750
2 Cu 0.097 0.903 0.250
3 Cu 0.250 0.750 0.750
4 Cu 0.315 0.685 0.250
5 Cu 0.468 0.532 0.750
6 Cu 0.532 0.468 0.250
7 Cu 0.685 0.315 0.750
8 Cu 0.750 0.250 0.250
9 Cu 0.903 0.097 0.750
10 Cu 0.968 0.032 0.250
11 Ge 0.185 0.815 0.250
12 Ge 0.403 0.597 0.250
13 Ge 0.597 0.403 0.750
14 Ge 0.815 0.185 0.750